# 1
Below is a geometry-optimized LaMgPt2 structure, with properties calculated at the PBE-GGA level.

```
data_LaMgPt2
_chemical_formula_sum 'La1 Mg1 Pt2'
_cell_length_a 4.871
_cell_length_b 4.871
_cell_length_c 3.506
_cell_angle_alpha 90.00
_cell_angle_beta 90.00
_cell_angle_gamma 90.00
_space_group_name_H-M_alt 'P 4/m m m'
_space_group_IT_number 123
_space_group_name_Hall '-P 4 2'
loop_
_atom_site_label
_atom_site_fract_x
_atom_site_fract_y
_atom_site_fract_z
La1 0.000 0.000 0.000
Mg1 0.500 0.500 0.000
Pt1 0.000 0.500 0.500
```

Its crystal system is tetragonal. As for the raw total energy: -5.54 eV per atom. The density of states at the Fermi level is 0.356 states/eV/atom. The magnetic moment is 0.00 μB per formula unit.

=====

# 2
Below is a geometry-optimized ScGe3Pt structure, with properties calculated at the PBE-GGA level.

```
data_ScGe3Pt
_chemical_formula_sum 'Sc1 Ge3 Pt1'
_cell_length_a 4.991
_cell_length_b 4.991
_cell_length_c 4.991
_cell_angle_alpha 90.00
_cell_angle_beta 90.00
_cell_angle_gamma 90.00
_space_group_name_H-M_alt 'P m -3 m'
_space_group_IT_number 221
_space_group_name_Hall '-P 4 2 3'
loop_
_atom_site_label
_atom_site_fract_x
_atom_site_fract_y
_atom_site_fract_z
Sc1 0.000 0.000 0.000
Ge1 0.000 0.000 0.500
Pt1 0.500 0.500 0.500
```

Its crystal system is cubic. As for the raw total energy: -4.34 eV per atom. The density of states at the Fermi level is 0.900 states/eV/atom. The magnetic moment is 0.00 μB per formula unit.

=====

# 3
Below is a geometry-optimized Na2TbInI6 structure, with properties calculated at the PBE-GGA level.

```
data_Na2TbInI6
_chemical_formula_sum 'Na6 Tb3 In3 I18'
_cell_length_a 8.1335
_cell_length_b 8.1335
_cell_length_c 22.3801
_cell_angle_alpha 90.00
_cell_angle_beta 90.00
_cell_angle_gamma 120.00
_space_group_name_H-M_alt 'R 3'
_space_group_IT_number 146
_space_group_name_Hall 'R 3'
loop_
_atom_site_label
_atom_site_fract_x
_atom_site_fract_y
_atom_site_fract_z
Na1 0.0000 0.0000 0.0000
Na2 0.0000 0.0000 0.4875
Tb1 0.0000 0.0000 0.6756
In1 0.0000 0.0000 0.1870
I1 0.0098 0.3212 0.7493
I2 0.0246 0.6408 0.2570
```

Its crystal system is trigonal. The density of states at the Fermi level is 0.000 states/eV/atom. The value obtained for the raw formation energy is -1143 meV/atom. The magnetic moment is 0.00 μB per formula unit.

=====

# 4
Below is a geometry-optimized TlInPPt2 structure, with properties calculated at the PBE-GGA level.

```
data_TlInPPt2
_chemical_formula_sum 'Tl1 In1 P1 Pt2'
_cell_length_a 5.074
_cell_length_b 5.074
_cell_length_c 5.486
_cell_angle_alpha 90.00
_cell_angle_beta 90.00
_cell_angle_gamma 90.00
_space_group_name_H-M_alt 'P 4/m m m'
_space_group_IT_number 123
_space_group_name_Hall '-P 4 2'
loop_
_atom_site_label
_atom_site_fract_x
_atom_site_fract_y
_atom_site_fract_z
Tl1 0.000 0.000 0.000
In1 0.000 0.000 0.500
P1 0.500 0.500 0.500
Pt1 0.000 0.500 0.000
```

Its crystal system is tetragonal. As for the raw total energy: -3.14 eV per atom. The density of states at the Fermi level is 0.819 states/eV/atom. The magnetic moment is 0.72 μB per formula unit.

=====

# 5
Below is a geometry-optimized ZnSeSN2 structure, with properties calculated at the PBE-GGA level.

```
data_ZnSeSN2
_chemical_formula_sum 'Zn1 Se1 S1 N2'
_cell_length_a 3.454
_cell_length_b 3.454
_cell_length_c 7.725
_cell_angle_alpha 90.00
_cell_angle_beta 90.00
_cell_angle_gamma 90.00
_space_group_name_H-M_alt 'P 4/m m m'
_space_group_IT_number 123
_space_group_name_Hall '-P 4 2'
loop_
_atom_site_label
_atom_site_fract_x
_atom_site_fract_y
_atom_site_fract_z
Zn1 0.000 0.000 0.000
Se1 0.500 0.500 0.000
S1 0.500 0.500 0.500
N1 0.000 0.500 0.500
```

Its crystal system is tetragonal. The calculation puts the energy relative to the lowest polymorph listed for this composition at 0 meV/atom. The density of states at the Fermi level is 0.772 states/eV/atom. The value obtained for the raw formation energy is 1206 meV/atom. The magnetic moment is 0.10 μB per formula unit.

=====

# 6
Below is a geometry-optimized HfScTi2O structure, with properties calculated at the PBE-GGA level.

```
data_HfScTi2O
_chemical_formula_sum 'Hf1 Sc1 Ti2 O1'
_cell_length_a 4.277
_cell_length_b 4.277
_cell_length_c 4.424
_cell_angle_alpha 90.00
_cell_angle_beta 90.00
_cell_angle_gamma 90.00
_space_group_name_H-M_alt 'P 4/m m m'
_space_group_IT_number 123
_space_group_name_Hall '-P 4 2'
loop_
_atom_site_label
_atom_site_fract_x
_atom_site_fract_y
_atom_site_fract_z
Hf1 0.000 0.000 0.000
Sc1 0.500 0.500 0.000
Ti1 0.000 0.500 0.500
O1 0.500 0.500 0.500
```

Its crystal system is tetragonal. The calculation puts the energy relative to the lowest polymorph listed for this composition at 0 meV/atom. The density of states at the Fermi level is 0.983 states/eV/atom. The value obtained for the raw formation energy is -1037 meV/atom. The magnetic moment is 0.00 μB per formula unit.

=====

# 7
Below is a geometry-optimized Pm6Nd5Mg2 structure, with properties calculated at the PBE-GGA level.

```
data_Pm6Nd5Mg2
_chemical_formula_sum 'Pm12 Nd10 Mg4'
_cell_length_a 10.690
_cell_length_b 23.041
_cell_length_c 3.590
_cell_angle_alpha 90.00
_cell_angle_beta 90.00
_cell_angle_gamma 90.00
_space_group_name_H-M_alt 'P b a m'
_space_group_IT_number 55
loop_
_space_group_symop_operation_xyz
'x,y,z'
'-x,-y,-z'
'-x,-y,z'
'x,y,-z'
'x+1/2,-y+1/2,-z'
'-x+1/2,y+1/2,z'
'-x+1/2,y+1/2,-z'
'x+1/2,-y+1/2,z'
loop_
_atom_site_label
_atom_site_fract_x
_atom_site_fract_y
_atom_site_fract_z
Pm1 0.018 0.114 0.000
Pm2 0.147 0.382 0.000
Pm3 0.168 0.634 0.500
Nd1 0.000 0.500 0.500
Nd2 0.083 0.249 0.500
Nd3 0.168 0.995 0.500
Mg1 0.167 0.761 0.000
```

Its crystal system is orthorhombic. As for the raw total energy: -4.15 eV per atom. The density of states at the Fermi level is 1.565 states/eV/atom. The magnetic moment is 0.00 μB per formula unit.

=====

# 8
Below is a geometry-optimized MgCdS3 structure, with properties calculated at the PBE-GGA level.

```
data_MgCdS3
_chemical_formula_sum 'Mg1 Cd1 S3'
_cell_length_a 4.799
_cell_length_b 4.799
_cell_length_c 4.799
_cell_angle_alpha 90.00
_cell_angle_beta 90.00
_cell_angle_gamma 90.00
_space_group_name_H-M_alt 'P m -3 m'
_space_group_IT_number 221
_space_group_name_Hall '-P 4 2 3'
loop_
_atom_site_label
_atom_site_fract_x
_atom_site_fract_y
_atom_site_fract_z
Mg1 0.000 0.000 0.000
Cd1 0.500 0.500 0.500
S1 0.000 0.000 0.500
```

Its crystal system is cubic. The calculation puts the energy relative to the lowest polymorph listed for this composition at 0 meV/atom. The density of states at the Fermi level is 1.068 states/eV/atom. The value obtained for the raw formation energy is 113 meV/atom. The magnetic moment is 1.03 μB per formula unit.

=====

# 9
Below is a geometry-optimized PmBe4Pd3O12 structure, with properties calculated at the PBE-GGA level.

```
data_PmBe4Pd3O12
_chemical_formula_sum 'Pm3 Be12 Pd9 O36'
_cell_length_a 10.0455
_cell_length_b 10.0455
_cell_length_c 7.4874
_cell_angle_alpha 90.00
_cell_angle_beta 90.00
_cell_angle_gamma 120.00
_space_group_name_H-M_alt 'R 3 2'
_space_group_IT_number 155
_space_group_name_Hall 'R 3 2"'
loop_
_atom_site_label
_atom_site_fract_x
_atom_site_fract_y
_atom_site_fract_z
Pm1 0.0000 0.0000 0.0000
Be1 0.0000 0.0000 0.5000
Be2 0.0000 0.4283 0.5000
Pd1 0.0000 0.5649 0.0000
O1 0.0000 0.5843 0.5000
O2 0.0000 0.8459 0.5000
O3 0.0462 0.2182 0.1787
```

Its crystal system is trigonal. The density of states at the Fermi level is 0.640 states/eV/atom. The value obtained for the raw formation energy is -1505 meV/atom. The magnetic moment is 0.01 μB per formula unit.

=====

# 10
Below is a geometry-optimized LiBeGa3 structure, with properties calculated at the PBE-GGA level.

```
data_LiBeGa3
_chemical_formula_sum 'Li1 Be1 Ga3'
_cell_length_a 4.528
_cell_length_b 4.528
_cell_length_c 4.528
_cell_angle_alpha 90.00
_cell_angle_beta 90.00
_cell_angle_gamma 90.00
_space_group_name_H-M_alt 'P m -3 m'
_space_group_IT_number 221
_space_group_name_Hall '-P 4 2 3'
loop_
_atom_site_label
_atom_site_fract_x
_atom_site_fract_y
_atom_site_fract_z
Li1 0.000 0.000 0.000
Be1 0.500 0.500 0.500
Ga1 0.000 0.000 0.500
```

Its crystal system is cubic. The calculation puts the energy relative to the lowest polymorph listed for this composition at 491 meV/atom. The density of states at the Fermi level is 0.376 states/eV/atom. The magnetic moment is 0.00 μB per formula unit.

=====

# 11
Below is a geometry-optimized SmGa3Pt2 structure, with properties calculated at the PBE-GGA level.

```
data_SmGa3Pt2
_chemical_formula_sum 'Sm4 Ga12 Pt8'
_cell_length_a 9.566
_cell_length_b 8.267
_cell_length_c 5.606
_cell_angle_alpha 90.00
_cell_angle_beta 90.00
_cell_angle_gamma 90.00
_space_group_name_H-M_alt 'C m c m'
_space_group_IT_number 63
_space_group_name_Hall '-C 2c 2'
loop_
_atom_site_label
_atom_site_fract_x
_atom_site_fract_y
_atom_site_fract_z
Sm1 0.000 0.159 0.250
Ga1 0.000 0.472 0.750
Ga2 0.155 0.218 0.750
Pt1 0.229 0.500 0.000
```

Its crystal system is orthorhombic. As for the raw total energy: -5.08 eV per atom. The density of states at the Fermi level is 0.389 states/eV/atom. The magnetic moment is 0.00 μB per formula unit.

=====

# 12
Below is a geometry-optimized CdBi2Au2 structure, with properties calculated at the PBE-GGA level.

```
data_CdBi2Au2
_chemical_formula_sum 'Cd4 Bi8 Au8'
_cell_length_a 10.037
_cell_length_b 5.986
_cell_length_c 8.456
_cell_angle_alpha 90.00
_cell_angle_beta 102.09
_cell_angle_gamma 90.00
_space_group_name_H-M_alt 'C 1 2/c 1'
_space_group_IT_number 15
loop_
_space_group_symop_operation_xyz
'x,y,z'
'-x,-y,-z'
'-x,y,-z+1/2'
'x,-y,z+1/2'
'x+1/2,y+1/2,z'
'-x+1/2,-y+1/2,-z'
'-x+1/2,y+1/2,-z+1/2'
'x+1/2,-y+1/2,z+1/2'
loop_
_atom_site_label
_atom_site_fract_x
_atom_site_fract_y
_atom_site_fract_z
Cd1 0.000 0.207 0.250
Bi1 0.150 0.338 0.681
Au1 0.138 0.103 0.994
```

Its crystal system is monoclinic. The calculation puts the energy relative to the lowest polymorph listed for this composition at 4 meV/atom. The density of states at the Fermi level is 0.323 states/eV/atom. The magnetic moment is 0.00 μB per formula unit.

=====

The highest magnetic moment belongs to which entry? MgCdS3